PrSmGdTm | the Alexandria database | GGA-PBE | relaxed; final energy = -27.62 eV/cell; ΔH_f (0 K) = 0.108 eV/atom
1.0
0.0000 4.0567 4.0567
4.0567 0.0000 4.0567
4.0567 4.0567 0.0000
Pr Sm Gd Tm
1 1 1 1
direct
0.0000 0.0000 0.0000
0.5000 0.5000 0.5000
0.7500 0.7500 0.7500
0.2500 0.2500 0.2500

---

PrSmGdY | the Alexandria database | GGA-PBE | relaxed; final energy = -29.61 eV/cell; ΔH_f (0 K) = 0.109 eV/atom
1.0
0.0000 4.0807 4.0807
4.0807 0.0000 4.0807
4.0807 4.0807 0.0000
Pr Sm Gd Y
1 1 1 1
direct
0.0000 0.0000 0.0000
0.5000 0.5000 0.5000
0.7500 0.7500 0.7500
0.2500 0.2500 0.2500

---

PrSmGdZn | the Alexandria database | GGA-PBE | relaxed; final energy = -24.73 eV/cell; ΔH_f (0 K) = 0.030 eV/atom
1.0
0.0000 3.8523 3.8523
3.8523 0.0000 3.8523
3.8523 3.8523 0.0000
Pr Sm Gd Zn
1 1 1 1
direct
0.0000 0.0000 0.0000
0.5000 0.5000 0.5000
0.7500 0.7500 0.7500
0.2500 0.2500 0.2500